La2BOsAu GGA-PBE optimized geometry; E_form = -171.1 meV/atom; space-group type = P4/mmm (123); total moment = 0.00 Bohr magnetons per cell; final energy = -6.379 eV per atom
1.0
-2.577 -3.134 3.787
2.871 -2.929 -0.471
3.044 2.340 4.008
La B Os Au
2 1 1 1
Cartesian
1.522 1.170 2.004
-1.289 -1.567 1.893
1.436 -1.465 -0.235
0.000 0.000 0.000
1.669 -1.862 3.662